[1]
# Na3HfSi

A relaxed Na3HfSi crystal (GGA-PBE, the Alexandria database).

Calculated values
symmetry	No. 221
formation energy from raw total energies	1.7498	eV/atom
polymorph energy (0 for the lowest one)	620	meV per atom
crystal system	cubic

abc: 5.9269 5.9269 5.9269
angles: 90.00 90.00 90.00
Positions (direct):
1 Na 0.0000 0.0000 0.5000
2 Na 0.0000 0.5000 0.0000
3 Na 0.5000 0.0000 0.0000
4 Hf 0.0000 0.0000 0.0000
5 Si 0.5000 0.5000 0.5000

[2]
# NaHf2TlSi

A relaxed NaHf2TlSi crystal (GGA-PBE, the Alexandria database).

Calculated values
symmetry	No. 123
formation energy from raw total energies	0.5970	eV/atom
crystal system	tetragonal

abc: 5.0125 5.0125 5.3189
angles: 90.00 90.00 90.00
Positions (direct):
1 Na 0.0000 0.0000 0.0000
2 Hf 0.0000 0.5000 0.5000
3 Hf 0.5000 0.0000 0.5000
4 Tl 0.5000 0.5000 0.0000
5 Si 0.5000 0.5000 0.5000

[3]
# NaSm2Hf

A relaxed NaSm2Hf crystal (GGA-PBE, the Alexandria database).

Calculated values
energy of formation from the pure elements	149	meV per atom
symmetry	No. 123
crystal system	tetragonal

abc: 3.4134 3.4134 10.5513
angles: 90.00 90.00 90.00
Positions (direct):
1 Na 0.0000 0.0000 0.0000
2 Sm 0.5000 0.5000 0.2830
3 Sm 0.5000 0.5000 0.7170
4 Hf 0.0000 0.0000 0.5000

Listing electronic total energy for the structures above in their given order: -10.6; -26.0; -20.1 eV per cell.
Listing density of states at the Fermi level for the structures above in their given order: 11.4; 5.4; 4.5 states/eV per cell.